Entry 1:
The following is a PBE calculation of CeCuGe2 after structural relaxation, from Alexandria via LeMat-Bulk.

- V: 19.503 A^3/atom
- Theoretical density: 7.43 Mg/m³
- Total magnetization: 0.85 μB per formula unit
- E_form: -0.539 eV per atom

Structure (CIF):
```
data_CeCuGe2
_cell_length_a 4.304
_cell_length_b 4.285
_cell_length_c 8.731
_cell_angle_alpha 90.00
_cell_angle_beta 104.27
_cell_angle_gamma 90.00
_space_group_name_H-M_alt 'P 1'
_space_group_IT_number 1
loop_
_space_group_symop_operation_xyz
'x,y,z'
loop_
_atom_site_label
_atom_site_fract_x
_atom_site_fract_y
_atom_site_fract_z
Ce1 0.105 0.250 0.211
Ce2 0.895 0.750 0.789
Cu1 0.324 0.250 0.645
Cu2 0.676 0.750 0.355
Ge1 0.248 0.750 0.498
Ge2 0.461 0.250 0.924
Ge3 0.539 0.750 0.076
Ge4 0.752 0.250 0.502
```



Entry 2:
The following is a PBE calculation of Ac3Zn6CuRu2 after structural relaxation, from Alexandria via LeMat-Bulk.

- V: 22.603 A^3/atom
- Theoretical density: 8.20 Mg/m³
- Total magnetization: 0.00 μB per formula unit
- E_form: -0.051 eV per atom

Structure (CIF):
```
data_Ac3Zn6CuRu2
_cell_length_a 6.268
_cell_length_b 6.268
_cell_length_c 7.971
_cell_angle_alpha 90.00
_cell_angle_beta 90.00
_cell_angle_gamma 120.00
_space_group_name_H-M_alt 'P 1'
_space_group_IT_number 1
loop_
_space_group_symop_operation_xyz
'x,y,z'
loop_
_atom_site_label
_atom_site_fract_x
_atom_site_fract_y
_atom_site_fract_z
Ac1 0.000 0.000 0.000
Ac2 0.333 0.667 0.779
Ac3 0.667 0.333 0.221
Zn1 0.192 0.384 0.365
Zn2 0.192 0.808 0.365
Zn3 0.384 0.192 0.635
Zn4 0.616 0.808 0.365
Zn5 0.808 0.192 0.635
Zn6 0.808 0.616 0.635
Cu1 0.000 0.000 0.500
Ru1 0.333 0.667 0.117
Ru2 0.667 0.333 0.883
```



Entry 3:
The following is a PBE calculation of YTm2Cu2 after structural relaxation, from Alexandria via LeMat-Bulk.

- Offset from the most stable computed form: 0 meV/atom
- V: 22.435 A^3/atom
- Theoretical density: 8.20 Mg/m³
- Total magnetization: 0.00 μB per formula unit
- E_form: -0.193 eV per atom

Structure (CIF):
```
data_YTm2Cu2
_cell_length_a 3.460
_cell_length_b 5.034
_cell_length_c 12.997
_cell_angle_alpha 90.00
_cell_angle_beta 97.64
_cell_angle_gamma 90.00
_space_group_name_H-M_alt 'P 1'
_space_group_IT_number 1
loop_
_space_group_symop_operation_xyz
'x,y,z'
loop_
_atom_site_label
_atom_site_fract_x
_atom_site_fract_y
_atom_site_fract_z
Y1 0.142 0.250 0.283
Y2 0.858 0.750 0.717
Tm1 0.047 0.750 0.093
Tm2 0.230 0.750 0.459
Tm3 0.770 0.250 0.541
Tm4 0.953 0.250 0.907
Cu1 0.358 0.250 0.720
Cu2 0.455 0.750 0.912
Cu3 0.545 0.250 0.088
Cu4 0.642 0.750 0.280
```



Entry 4:
The following is a PBE calculation of Nd5Sn2Ge after structural relaxation, from Alexandria via LeMat-Bulk.

- Offset from the most stable computed form: 209 meV/atom
- V: 28.619 A^3/atom
- Theoretical density: 7.48 Mg/m³
- Total magnetization: 0.00 μB per formula unit
- E_form: -0.482 eV per atom

Structure (CIF):
```
data_Nd5Sn2Ge
_cell_length_a 9.237
_cell_length_b 9.924
_cell_length_c 6.737
_cell_angle_alpha 90.00
_cell_angle_beta 132.15
_cell_angle_gamma 90.00
_space_group_name_H-M_alt 'P 1'
_space_group_IT_number 1
loop_
_space_group_symop_operation_xyz
'x,y,z'
loop_
_atom_site_label
_atom_site_fract_x
_atom_site_fract_y
_atom_site_fract_z
Nd1 0.000 0.000 0.000
Nd2 0.008 0.000 0.542
Nd3 0.245 0.278 0.998
Nd4 0.245 0.722 0.998
Nd5 0.484 0.000 0.430
Nd6 0.500 0.500 0.000
Nd7 0.508 0.500 0.542
Nd8 0.745 0.222 0.998
Nd9 0.745 0.778 0.998
Nd10 0.984 0.500 0.430
Sn1 0.252 0.239 0.505
Sn2 0.252 0.761 0.505
Sn3 0.752 0.261 0.505
Sn4 0.752 0.739 0.505
Ge1 0.463 0.000 0.924
Ge2 0.963 0.500 0.924
```



Entry 5:
The following is a PBE calculation of LaCd2Se2 after structural relaxation, from Alexandria via LeMat-Bulk.

- Offset from the most stable computed form: 0 meV/atom
- V: 27.212 A^3/atom
- Formation energy (no corrections): -0.82 eV/atom
- Theoretical density: 6.37 Mg/m³
- Total magnetization: 0.00 μB per formula unit

Structure (CIF):
```
data_LaCd2Se2
_cell_length_a 3.937
_cell_length_b 3.937
_cell_length_c 17.558
_cell_angle_alpha 90.00
_cell_angle_beta 90.00
_cell_angle_gamma 90.00
_space_group_name_H-M_alt 'P 1'
_space_group_IT_number 1
loop_
_space_group_symop_operation_xyz
'x,y,z'
loop_
_atom_site_label
_atom_site_fract_x
_atom_site_fract_y
_atom_site_fract_z
La1 0.000 0.000 0.000
La2 0.500 0.500 0.500
Cd1 0.000 0.500 0.250
Cd2 0.000 0.500 0.750
Cd3 0.500 0.000 0.250
Cd4 0.500 0.000 0.750
Se1 0.000 0.000 0.410
Se2 0.000 0.000 0.590
Se3 0.500 0.500 0.090
Se4 0.500 0.500 0.910
```



Entry 6:
The following is a PBE calculation of Ce8InTc2 after structural relaxation, from Alexandria via LeMat-Bulk.

- Offset from the most stable computed form: 35 meV/atom
- V: 26.087 A^3/atom
- Theoretical density: 8.29 Mg/m³
- Total magnetization: 2.12 μB per formula unit
- E_form: -0.054 eV per atom

Structure (CIF):
```
data_Ce8InTc2
_cell_length_a 7.864
_cell_length_b 7.864
_cell_length_c 5.282
_cell_angle_alpha 97.50
_cell_angle_beta 97.50
_cell_angle_gamma 115.08
_space_group_name_H-M_alt 'P 1'
_space_group_IT_number 1
loop_
_space_group_symop_operation_xyz
'x,y,z'
loop_
_atom_site_label
_atom_site_fract_x
_atom_site_fract_y
_atom_site_fract_z
Ce1 0.080 0.080 0.802
Ce2 0.189 0.407 0.439
Ce3 0.246 0.754 0.000
Ce4 0.407 0.189 0.439
Ce5 0.593 0.811 0.561
Ce6 0.754 0.246 0.000
Ce7 0.811 0.593 0.561
Ce8 0.920 0.920 0.198
In1 0.500 0.500 0.000
Tc1 0.208 0.792 0.500
Tc2 0.792 0.208 0.500
```